1.
RbCd2Hg7: optimized geometry, PBE.

It has space group Cmmm (No. 65), with a = 6.1133 Å, b = 22.5784 Å, c = 4.8012 Å, α = 90.00°, β = 90.00° and γ = 90.00°. The distinct sites, in fractional coordinates, are Rb at (0.0000, 0.0000, 0.0000), Cd at (0.0000, 0.2639, 0.5000), Hg at (0.0000, 0.1840, 0.0000), Hg at (0.0000, 0.5000, 0.5000) and Hg at (0.2491, 0.1176, 0.5000).

The calculation puts the energy at -5.3 eV/f.u. For the offset from the most stable computed form, the calculation gives 0 kJ/mol of formula units. The volume is 33.135 A^3/atom. The energy of formation from the pure elements is -0.034 eV per atom.

---

2.
RbCdHgRh2: optimized geometry, PBE.

It has space group P4/mmm (No. 123), with a = 5.1519 Å, b = 5.1519 Å, c = 6.0101 Å, α = 90.00°, β = 90.00° and γ = 90.00°. The distinct sites, in fractional coordinates, are Rb at (0.0000, 0.0000, 0.0000), Cd at (0.5000, 0.5000, 0.0000), Hg at (0.0000, 0.0000, 0.5000) and Rh at (0.0000, 0.5000, 0.5000).

The calculation puts the energy at -11.7 eV/f.u. The volume is 31.904 A^3/atom. The energy of formation from the pure elements is 1.042 eV per atom.

---

3.
Rb2CdHgRu: optimized geometry, PBE.

It has space group P4/mmm (No. 123), with a = 6.4036 Å, b = 6.4036 Å, c = 5.3013 Å, α = 90.00°, β = 90.00° and γ = 90.00°. The distinct sites, in fractional coordinates, are Rb at (0.0000, 0.5000, 0.0000), Cd at (0.0000, 0.0000, 0.5000), Hg at (0.5000, 0.5000, 0.5000) and Ru at (0.5000, 0.5000, 0.0000).

The calculation puts the energy at -9.0 eV/f.u. The volume is 43.478 A^3/atom. The energy of formation from the pure elements is 0.677 eV per atom.

---

4.
Rb2CdHgS: optimized geometry, PBE.

It has space group P4/mmm (No. 123), with a = 6.4610 Å, b = 6.4610 Å, c = 5.3325 Å, α = 90.00°, β = 90.00° and γ = 90.00°. The distinct sites, in fractional coordinates, are Rb at (0.0000, 0.5000, 0.0000), Cd at (0.0000, 0.0000, 0.0000), Hg at (0.0000, 0.0000, 0.5000) and S at (0.5000, 0.5000, 0.5000).

The energy relative to the elements, uncorrected comes out at -0.055 eV/f.u. The calculation puts the energy at -7.3 eV/f.u. The volume is 44.521 A^3/atom.

---

Copy entry 2 word for word.
RbCdHgRh2: optimized geometry, PBE.

It has space group P4/mmm (No. 123), with a = 5.1519 Å, b = 5.1519 Å, c = 6.0101 Å, α = 90.00°, β = 90.00° and γ = 90.00°. The distinct sites, in fractional coordinates, are Rb at (0.0000, 0.0000, 0.0000), Cd at (0.5000, 0.5000, 0.0000), Hg at (0.0000, 0.0000, 0.5000) and Rh at (0.0000, 0.5000, 0.5000).

The calculation puts the energy at -11.7 eV/f.u. The volume is 31.904 A^3/atom. The energy of formation from the pure elements is 1.042 eV per atom.

---

- Look up the energy of the second one.
  -11.7 eV/f.u.